(1)
Here is LaSmPaN3 after structural relaxation from Alexandria. Energies are from PBE-GGA.

a b c (Å): 3.4876 6.5518 10.3670
angles (deg): 90.20 90.00 90.00
Last column: magnetic moment on the atom in μB.
Element x y z (fractional)
Sm  0.2500  0.6535  0.1103  0.02
Sm  0.7500  0.3465  0.8897  0.02
N  0.2500  0.1416  0.7788  -0.01
N  0.7500  0.3788  0.1157  0.00
N  0.2500  0.6212  0.8843  0.00
N  0.2500  0.8549  0.5593  0.00
N  0.7500  0.1451  0.4407  0.00
N  0.7500  0.8584  0.2212  -0.01
La  0.7500  0.8276  0.7731  0.03
La  0.2500  0.1724  0.2269  0.03
Pa  0.2500  0.2069  0.5783  0.21
Pa  0.7500  0.7931  0.4217  0.21

Values from the calculation:
- DOS at the Fermi energy (states/eV per cell) = 5.363
- E_form (uncorrected) (eV/atom) = -1.2389
- space-group type = P2_1/m, No. 11

(2)
Here is ScRuAu2 after structural relaxation from Alexandria. Energies are from PBE-GGA.

a b c (Å): 3.8676 3.8676 10.3088
angles (deg): 79.19 79.19 90.00
Element x y z (fractional)
Ru  0.7500  0.2500  0.5000
Ru  0.0000  0.0000  0.0000
Au  0.6307  0.1250  0.2500
Au  0.8750  0.8807  0.7500
Au  0.3750  0.3693  0.7500
Au  0.1193  0.6250  0.2500
Sc  0.2500  0.7500  0.5000
Sc  0.5000  0.5000  0.0000

Values from the calculation:
- DOS at the Fermi energy (states/eV per cell) = 7.560
- DFT formation energy (eV per atom) = -0.017
- space-group type = I-42d, No. 122

(3)
Here is Ca2Mg3Ir2 after structural relaxation from Alexandria. Energies are from PBE-GGA.

a b c (Å): 4.2854 5.6186 7.5087
angles (deg): 111.60 90.00 112.42
Element x y z (fractional)
Mg  0.6440  0.2881  0.4345
Mg  0.5000  0.0000  0.0000
Mg  0.3560  0.7119  0.5655
Ca  0.8539  0.7079  0.2047
Ca  0.1461  0.2921  0.7953
Ir  0.8575  0.7151  0.7962
Ir  0.1425  0.2849  0.2038

Values from the calculation:
- DOS at the Fermi energy (states/eV per cell) = 3.017
- DFT formation energy (eV per atom) = -0.358
- space-group type = C2/m, No. 12

(4)
Here is Hf4BeSi after structural relaxation from Alexandria. Energies are from PBE-GGA.

a b c (Å): 5.1573 6.5218 6.5218
angles (deg): 90.00 90.00 90.00
Element x y z (fractional)
Si  0.7500  0.5000  0.5000
Si  0.2500  0.5000  0.5000
Hf  0.0000  0.8477  0.3382
Hf  0.5000  0.3382  0.8477
Hf  0.0000  0.6618  0.8477
Hf  0.0000  0.3382  0.1523
Hf  0.5000  0.8477  0.6618
Hf  0.0000  0.1523  0.6618
Hf  0.5000  0.1523  0.3382
Hf  0.5000  0.6618  0.1523
Be  0.2500  0.0000  0.0000
Be  0.7500  0.0000  0.0000

Values from the calculation:
- DOS at the Fermi energy (states/eV per cell) = 13.180
- E_form (uncorrected) (eV/atom) = -0.3685
- ΔE to the lowest computed polymorph (meV per atom) = 26.3
- space-group type = P4/mcc, No. 124

(5)
Here is KScC after structural relaxation from Alexandria. Energies are from PBE-GGA.

a b c (Å): 13.3100 3.5167 4.1049
angles (deg): 115.14 86.29 94.58
Element x y z (fractional)
C  0.2159  0.7027  0.9810
C  0.2718  0.5573  0.6569
K  0.5824  0.6414  0.6235
K  0.9039  0.2157  0.0909
Sc  0.3226  0.2944  0.1005
Sc  0.1648  0.9652  0.5366

Values from the calculation:
- DOS at the Fermi energy (states/eV per cell) = 3.548
- ΔE to the lowest computed polymorph (meV per atom) = 1.1
- DFT formation energy (eV per atom) = -0.037
- space-group type = P1, No. 1

(6)
Here is SrLi2I after structural relaxation from Alexandria. Energies are from PBE-GGA.

a b c (Å): 5.6320 5.6320 5.6320
angles (deg): 60.00 60.00 60.00
Element x y z (fractional)
Sr  0.0000  0.0000  0.0000
Li  0.2500  0.2500  0.2500
Li  0.7500  0.7500  0.7500
I  0.5000  0.5000  0.5000

Values from the calculation:
- DOS at the Fermi energy (states/eV per cell) = 3.133
- E_form (uncorrected) (eV/atom) = -0.0942
- ΔE to the lowest computed polymorph (meV per atom) = 288.4
- space-group type = Fm-3m, No. 225

Question: Which formula does entry 1 have?
Answer: LaSmPaN3

Question: Which value of DOS at the Fermi energy does entry 1 give?
Answer: 5.363 states/eV per cell